1.
The following is a DFT calculation (PBE) of AcAgBiAs after structural relaxation.

```
AcAgBiAs
1.0
-4.196 -1.455 3.006
0.282 -4.405 3.045
0.245 0.442 5.339
As Ac Bi Ag
1 1 1 1
Direct
0.500 0.500 0.500
0.250 0.250 0.250
0.750 0.750 0.750
0.000 0.000 0.000
```

Results
DOS(E_F)	0.80	states/eV per atom
calculated total energy	-4.2533	eV per atom

2.
The following is a DFT calculation (PBE) of LaTb3YTh after structural relaxation.

```
LaTb3YTh
1.0
-3.614 3.584 -0.101
-5.425 -5.400 2.523
5.195 5.457 7.693
La Tb Y Th
2 6 2 2
Direct
0.250 0.123 0.291
0.750 0.877 0.709
0.750 0.865 0.042
0.250 0.135 0.958
0.250 0.624 0.455
0.750 0.376 0.545
0.750 0.383 0.205
0.250 0.617 0.795
0.250 0.131 0.629
0.750 0.869 0.371
0.250 0.619 0.121
0.750 0.381 0.879
```

Results
DOS(E_F)	1.62	states/eV per atom
calculated total energy	-5.4150	eV per atom

3.
The following is a DFT calculation (PBE) of KIr2Rh after structural relaxation.

```
KIr2Rh
1.0
2.773 0.000 0.000
-1.366 2.413 0.000
0.000 0.000 10.180
Ir K Rh
2 1 1
Direct
0.000 0.000 0.999
0.500 0.500 0.222
0.000 0.000 0.501
0.500 0.500 0.778
```

Results
energy above the lowest structure with this stoichiometry	0.84	eV/f.u.
DOS(E_F)	1.20	states/eV per atom
calculated total energy	-5.8778	eV per atom

4.
The following is a DFT calculation (PBE) of TbY3Cd4 after structural relaxation.

```
TbY3Cd4
1.0
-0.906 -1.056 -5.107
-0.499 -7.360 1.611
-10.404 1.062 1.627
Y Tb Cd
6 2 8
Direct
0.000 0.000 0.000
0.000 0.000 0.500
0.501 0.000 0.750
0.499 0.000 0.250
0.501 0.500 0.750
0.499 0.500 0.250
0.000 0.500 0.000
0.000 0.500 0.500
0.500 0.750 0.000
0.500 0.750 0.500
0.500 0.250 0.000
0.500 0.250 0.500
0.001 0.750 0.750
0.999 0.750 0.250
0.999 0.250 0.250
0.001 0.250 0.750
```

Results
DOS(E_F)	1.07	states/eV per atom
calculated total energy	-3.8072	eV per atom

5.
The following is a DFT calculation (PBE) of TbY4Bi2 after structural relaxation.

```
TbY4Bi2
1.0
5.342 0.000 0.000
0.000 5.342 0.000
-2.671 -2.671 8.407
Tb Y Bi
1 4 2
Direct
0.000 0.000 0.000
0.818 0.818 0.636
0.182 0.182 0.364
0.000 0.500 0.000
0.500 0.000 0.000
0.634 0.634 0.269
0.366 0.366 0.731
```

Results
DOS(E_F)	0.93	states/eV per atom
calculated total energy	-5.1889	eV per atom

6.
The following is a DFT calculation (PBE) of ReRuN after structural relaxation.

```
ReRuN
1.0
3.870 0.000 0.000
1.935 4.650 0.000
1.935 0.000 1.934
Ru N Re
1 1 1
Direct
0.330 0.340 0.000
0.639 0.721 0.000
0.030 0.939 0.000
```

Results
DOS(E_F)	0.75	states/eV per atom
calculated total energy	-9.5341	eV per atom
ΔE_f (raw)	1.447	eV/f.u.

7.
The following is a DFT calculation (PBE) of Mo2Pt3Rh4 after structural relaxation.

```
Mo2Pt3Rh4
1.0
-0.585 -3.160 -2.241
0.063 -3.575 5.023
-5.237 3.306 0.132
Mo Pt Rh
2 3 4
Direct
0.333 0.996 0.667
0.667 0.004 0.333
0.885 0.330 0.771
0.115 0.670 0.229
0.000 0.000 0.000
0.557 0.326 0.113
0.781 0.682 0.562
0.443 0.674 0.887
0.219 0.318 0.438
```

Results
energy above the lowest structure with this stoichiometry	0.00	eV/f.u.
DOS(E_F)	0.98	states/eV per atom
calculated total energy	-7.9026	eV per atom

8.
The following is a DFT calculation (PBE) of Ce3InGe3 after structural relaxation.

```
Ce3InGe3
1.0
5.917 0.000 0.000
0.000 8.782 0.000
0.000 -4.391 7.605
Ce In Ge
6 2 6
Direct
0.750 0.688 0.612
0.750 0.388 0.076
0.750 0.924 0.312
0.250 0.312 0.388
0.250 0.612 0.924
0.250 0.076 0.688
0.250 0.667 0.333
0.750 0.333 0.667
0.250 0.717 0.661
0.250 0.339 0.056
0.250 0.944 0.283
0.750 0.283 0.339
0.750 0.661 0.944
0.750 0.056 0.717
```

Results
DOS(E_F)	2.25	states/eV per atom
calculated total energy	-5.3897	eV per atom

9.
The following is a DFT calculation (PBE) of TmTcB3 after structural relaxation.

```
TmTcB3
1.0
-1.505 -1.062 -2.492
3.021 0.369 -1.982
1.056 -9.110 3.242
Tm Tc B
2 2 6
Direct
0.250 0.076 0.152
0.750 0.924 0.848
0.250 0.793 0.586
0.750 0.207 0.414
0.250 0.373 0.745
0.750 0.627 0.255
0.250 0.477 0.953
0.750 0.523 0.047
0.750 0.324 0.648
0.250 0.676 0.352
```

Results
DOS(E_F)	0.64	states/eV per atom
calculated total energy	-7.4623	eV per atom

10.
The following is a DFT calculation (PBE) of Sc3NbPb after structural relaxation.

```
Sc3NbPb
1.0
5.122 0.000 0.000
0.000 5.122 0.000
0.000 0.000 5.122
Pb Sc Nb
1 3 1
Direct
0.500 0.500 0.500
0.000 0.500 0.000
0.000 0.000 0.500
0.500 0.000 0.000
0.000 0.000 0.000
```

Results
energy above the lowest structure with this stoichiometry	0.00	eV/f.u.
DOS(E_F)	1.04	states/eV per atom
calculated total energy	-6.0707	eV per atom

11.
The following is a DFT calculation (PBE) of Sr8P5 after structural relaxation.

```
Sr8P5
1.0
-7.759 1.643 -4.196
7.279 -2.141 -4.790
-1.234 -6.688 4.957
Sr P
8 5
Direct
0.305 0.006 0.311
0.695 0.994 0.689
0.806 0.464 0.269
0.194 0.536 0.731
0.842 0.004 0.282
0.722 0.561 0.718
0.278 0.439 0.282
0.158 0.996 0.718
0.000 0.000 0.000
0.756 0.256 0.500
0.244 0.744 0.500
0.710 0.710 0.420
0.290 0.290 0.580
```

Results
DOS(E_F)	0.21	states/eV per atom
calculated total energy	-4.0629	eV per atom

12.
The following is a DFT calculation (PBE) of Cs2TlH after structural relaxation.

```
Cs2TlH
1.0
3.916 0.000 0.000
0.000 3.916 0.000
0.000 0.000 9.903
Cs H Tl
2 1 1
Direct
0.000 0.000 0.810
0.000 0.000 0.190
0.500 0.500 0.000
0.500 0.500 0.500
```

Results
energy above the lowest structure with this stoichiometry	0.00	eV/f.u.
DOS(E_F)	0.83	states/eV per atom
calculated total energy	-1.8316	eV per atom

13.
The following is a DFT calculation (PBE) of CaLuCuPb after structural relaxation.

```
CaLuCuPb
1.0
-2.940 -1.753 -3.912
-0.284 -5.102 -0.954
-4.391 -2.592 1.008
Pb Ca Lu Cu
1 1 1 1
Direct
0.250 0.250 0.250
0.000 0.000 0.000
0.500 0.500 0.500
0.750 0.750 0.750
```

Results
DOS(E_F)	0.44	states/eV per atom
calculated total energy	-3.8697	eV per atom

14.
The following is a DFT calculation (PBE) of EuGa2Rh after structural relaxation.

```
EuGa2Rh
1.0
3.257 0.000 0.000
0.000 3.257 0.000
0.000 0.000 7.166
Eu Rh Ga
1 1 2
Direct
0.500 0.500 0.500
0.500 0.500 0.000
0.000 0.000 0.810
0.000 0.000 0.190
```

Results
energy above the lowest structure with this stoichiometry	0.43	eV/f.u.
DOS(E_F)	0.85	states/eV per atom
calculated total energy	-6.4384	eV per atom

15.
The following is a DFT calculation (PBE) of Sc8FeNi2 after structural relaxation.

```
Sc8FeNi2
1.0
-2.496 -3.941 -0.346
4.703 -2.715 -2.996
2.129 0.742 7.807
Sc Fe Ni
8 1 2
Direct
0.405 0.559 0.810
0.667 0.968 0.334
0.803 0.695 0.607
0.969 0.205 0.937
0.197 0.305 0.393
0.333 0.032 0.666
0.595 0.441 0.190
0.031 0.795 0.063
0.500 0.000 0.000
0.817 0.304 0.634
0.183 0.696 0.366
```

Results
energy above the lowest structure with this stoichiometry	0.00	eV/f.u.
DOS(E_F)	1.20	states/eV per atom
calculated total energy	-6.6613	eV per atom

16.
The following is a DFT calculation (PBE) of K3Ca2MgF9 after structural relaxation.

```
K3Ca2MgF9
1.0
6.111 0.000 0.000
-3.055 5.292 0.000
0.000 0.000 7.504
K Ca Mg F
3 2 1 9
Direct
0.333 0.667 0.668
0.000 0.000 0.000
0.667 0.333 0.332
0.333 0.667 0.180
0.667 0.333 0.820
0.000 0.000 0.500
0.843 0.157 0.654
0.843 0.687 0.654
0.313 0.157 0.654
0.687 0.843 0.346
0.157 0.313 0.346
0.157 0.843 0.346
0.500 0.000 0.000
0.000 0.500 0.000
0.500 0.500 0.000
```

Results
DOS(E_F)	0.00	states/eV per atom
calculated total energy	-5.1150	eV per atom
ΔE_f (raw)	-50.993	eV/f.u.

17.
The following is a DFT calculation (PBE) of LiHfPd2 after structural relaxation.

```
LiHfPd2
1.0
-0.631 -2.940 1.144
4.333 -0.483 1.149
-0.878 1.766 4.054
Hf Pd Li
1 2 1
Direct
0.500 0.500 0.500
0.000 0.000 0.500
0.000 0.500 0.000
0.500 0.000 0.000
```

Results
energy above the lowest structure with this stoichiometry	0.29	eV/f.u.
DOS(E_F)	0.46	states/eV per atom
calculated total energy	-6.1399	eV per atom

18.
The following is a DFT calculation (PBE) of Cd2ReP after structural relaxation.

```
Cd2ReP
1.0
5.277 0.000 0.000
0.000 2.989 -0.012
0.000 2.845 4.687
Cd P Re
2 1 1
Direct
0.000 0.246 0.998
0.000 0.254 0.502
0.500 0.250 0.250
0.500 0.750 0.750
```

Results
DOS(E_F)	0.49	states/eV per atom
calculated total energy	-4.3734	eV per atom

19.
The following is a DFT calculation (PBE) of Pu2TeBr3 after structural relaxation.

```
Pu2TeBr3
1.0
2.203 10.330 1.401
-2.203 10.330 1.401
0.000 7.568 9.952
Pu Te Br
4 2 6
Direct
0.526 0.526 0.712
0.474 0.474 0.288
0.280 0.280 0.141
0.720 0.720 0.859
0.071 0.071 0.043
0.929 0.929 0.957
0.664 0.664 0.175
0.672 0.672 0.689
0.906 0.906 0.508
0.094 0.094 0.492
0.328 0.328 0.311
0.336 0.336 0.825
```

Results
DOS(E_F)	4.83	states/eV per atom
calculated total energy	-7.4338	eV per atom
ΔE_f (raw)	-7.779	eV/f.u.

20.
The following is a DFT calculation (PBE) of BaCa2Au after structural relaxation.

```
BaCa2Au
1.0
-4.119 4.424 -3.818
-2.279 -2.753 6.192
-0.526 3.096 2.316
Ca Au Ba
2 1 1
Direct
0.000 0.000 0.000
0.500 0.500 0.000
0.500 0.000 0.500
0.000 0.500 0.500
```

Results
energy above the lowest structure with this stoichiometry	1.41	eV/f.u.
DOS(E_F)	0.96	states/eV per atom
calculated total energy	-2.3813	eV per atom